5
Lattice="3.698 0.000 0.000 0.000 3.698 0.000 0.000 0.000 5.456" Properties=species:S:1:pos:R:3 comment="CoIrN2F | Alexandria via LeMat-Bulk | PBE+U | optimized geometry" polymorph_energy_mev_per_atom=0 pbc="T T T"
Co 0.000 0.000 0.000
Ir 1.849 1.849 2.728
N 0.000 1.849 2.728
N 1.849 0.000 2.728
F 1.849 1.849 0.000